Crystalline Li6Co4O11 at its relaxed geometry. Source: the Open Quantum Materials Database, functional PBE with a Hubbard U.

Symmetry: P1, No. 1
Density, g/cm3: 3.9
Volume, Å³ per cell: 191
Uncorrected energy, eV per cell: -112.5

The structure in POSCAR format:
```
Li6Co4O11
1.0
4.850 0.000 0.000
-0.818 4.889 0.000
-0.008 -2.393 8.039
Li Co O
6 4 11
Direct
0.000 0.000 0.000 Li
0.024 0.996 0.309 Li
0.279 0.470 0.538 Li
0.518 0.993 0.468 Li
0.571 0.022 0.805 Li
0.771 0.498 0.055 Li
0.282 0.491 0.891 Co
0.288 0.496 0.222 Co
0.760 0.482 0.707 Co
0.786 0.498 0.379 Co
0.154 0.719 0.406 O
0.173 0.712 0.080 O
0.379 0.262 0.008 O
0.397 0.258 0.692 O
0.422 0.276 0.331 O
0.632 0.717 0.897 O
0.653 0.721 0.270 O
0.675 0.715 0.590 O
0.889 0.279 0.513 O
0.926 0.277 0.196 O
0.926 0.300 0.832 O
```